Record 1
Material: NdHClF
Method: DFT, GGA-PBE
State: optimized geometry

```
NdHClF
1.0
-1.941 1.984 5.061
1.941 -1.984 5.061
1.941 1.984 -5.061
Nd H Cl F
1 1 1 1
Direct
0.000 0.000 0.000 Nd
0.906 0.406 0.500 H
0.640 0.640 0.000 Cl
0.394 0.894 0.500 F
```

For the volume, the calculation gives 19.5 Å³ per atom. As for the total energy: -5.094 eV/atom.

---

Record 2
Material: ThBeNi3
Method: DFT, GGA-PBE
State: optimized geometry

```
ThBeNi3
1.0
5.658 0.000 0.000
-2.829 4.900 0.000
0.000 0.000 5.186
Th Be Ni
2 2 6
Direct
0.333 0.667 0.250 Th
0.667 0.333 0.750 Th
0.000 0.000 0.000 Be
0.000 0.000 0.500 Be
0.182 0.365 0.750 Ni
0.182 0.818 0.750 Ni
0.365 0.182 0.250 Ni
0.635 0.818 0.750 Ni
0.818 0.182 0.250 Ni
0.818 0.635 0.250 Ni
```

For the formation energy, the calculation gives -0.37 eV per atom. For the volume, the calculation gives 14.4 Å³ per atom. The calculation puts the energy above the most stable polymorph in this dataset at 0 meV per atom.

---

Per-record magnetization, Bohr magnetons per cell: 0.0, 0.0